CoSeS2: optimized geometry, GGA-PBE.

E_tot ... -73.53 eV for the cell shown
Calculated density ... 4439 kg/m3
Fermi-level density of states ... 0.83 states/eV/atom
Magnetization ... 0.0000 μB per atom
Energy relative to the elements, uncorrected ... 0.5 eV per formula unit

Unit cell a=5.998 b=5.998 c=8.402 alpha=90.00 beta=90.00 gamma=90.00
Space group I-42d (No. 122)
Symmetry-distinct sites (fractional):
Co 0.000 0.000 0.000 (multiplicity 4)
Se 0.000 0.000 0.500 (multiplicity 4)
S 0.177 0.250 0.125 (multiplicity 8)